Entry 1:
Pr2SeO5 after structural relaxation. Source: Alexandria via LeMat-Bulk, functional GGA-PBE.

Total DFT energy (no corrections) (eV/atom): -7.025
N(E_F) (states/eV/f.u.): 0.0

Unit cell a=5.811 b=6.290 c=5.778 alpha=109.69 beta=132.93 gamma=87.89
Positions (direct):
O1 0.784 0.841 0.092
O2 0.247 0.094 0.886
O3 0.071 0.333 0.313
O4 0.984 0.653 0.737
O5 0.631 0.960 0.592
Pr1 0.230 0.723 0.531
Pr2 0.824 0.223 0.444
Se1 0.005 0.951 0.959


Entry 2:
Pr4Se3O4 after structural relaxation. Source: Alexandria via LeMat-Bulk, functional GGA-PBE.

Total DFT energy (no corrections) (eV/atom): -7.225
N(E_F) (states/eV/f.u.): 0.0

Unit cell a=6.893 b=6.893 c=8.533 alpha=90.00 beta=90.00 gamma=145.63
Positions (direct):
O1 0.410 0.590 0.000
O2 0.386 0.614 0.500
O3 0.911 0.089 0.245
O4 0.911 0.089 0.755
Pr1 0.316 0.684 0.761
Pr2 0.984 0.016 0.500
Pr3 0.998 0.002 0.000
Pr4 0.316 0.684 0.239
Se1 0.683 0.317 0.000
Se2 0.645 0.355 0.350
Se3 0.645 0.355 0.650


Entry 3:
PrSe2O6 after structural relaxation. Source: Alexandria via LeMat-Bulk, functional GGA-PBE.

Total DFT energy (no corrections) (eV/atom): -6.044
N(E_F) (states/eV/f.u.): 3.7

Unit cell a=6.903 b=7.293 c=6.903 alpha=64.94 beta=76.03 gamma=64.94
Each line ends with the local moment (μB).
Positions (direct):
Se1 0.283 0.248 0.349  0.04
Se2 0.717 0.752 0.651  0.04
Se3 0.651 0.252 0.717  0.04
Se4 0.349 0.748 0.283  0.04
O1 0.193 0.470 0.438  0.19
O2 0.438 0.970 0.193  0.19
O3 0.582 0.576 0.208  0.06
O4 0.208 0.076 0.582  0.06
O5 0.418 0.424 0.792  0.06
O6 0.562 0.030 0.807  0.19
O7 0.917 0.641 0.823  0.04
O8 0.177 0.859 0.083  0.04
O9 0.083 0.359 0.177  0.04
O10 0.792 0.924 0.418  0.06
O11 0.823 0.141 0.917  0.04
O12 0.807 0.530 0.562  0.19
Pr1 0.146 0.250 0.854  -0.01
Pr2 0.854 0.750 0.146  -0.01


Entry 4:
PrSeO after structural relaxation. Source: Alexandria via LeMat-Bulk, functional GGA-PBE.

Total DFT energy (no corrections) (eV/atom): -6.855

Unit cell a=4.098 b=5.794 c=10.199 alpha=124.46 beta=78.51 gamma=134.99
Positions (direct):
O1 0.000 0.250 0.500
O2 0.000 0.750 0.500
Pr1 0.654 0.981 0.654
Pr2 0.346 0.019 0.346
Se1 0.152 0.229 0.152
Se2 0.848 0.771 0.848


Entry 5:
PrSeO after structural relaxation. Source: Alexandria via LeMat-Bulk, functional GGA-PBE.

Total DFT energy (no corrections) (eV/atom): -6.434
N(E_F) (states/eV/f.u.): 2.3

Unit cell a=4.700 b=4.006 c=4.006 alpha=120.00 beta=90.00 gamma=90.00
Each line ends with the local moment (μB).
Positions (direct):
O1 0.500 0.333 0.667  0.20
Pr1 0.500 0.667 0.333  -0.01
Se1 0.000 0.000 0.000  0.35


Entry 6:
Pr2SeO6 after structural relaxation. Source: Alexandria via LeMat-Bulk, functional GGA-PBE.

Total DFT energy (no corrections) (eV/atom): -6.898
N(E_F) (states/eV/f.u.): 0.0

Unit cell a=4.376 b=5.318 c=5.318 alpha=60.01 beta=89.95 gamma=89.95
Positions (direct):
O1 0.223 0.832 0.832
O2 0.777 0.168 0.168
O3 0.777 0.664 0.168
O4 0.777 0.168 0.664
O5 0.223 0.832 0.336
O6 0.223 0.336 0.832
Se1 0.000 0.000 0.000
Pr1 0.255 0.333 0.333
Pr2 0.745 0.667 0.667


Entry 7:
PrSeO after structural relaxation. Source: Alexandria via LeMat-Bulk, functional GGA-PBE.

Total DFT energy (no corrections) (eV/atom): -6.686
N(E_F) (states/eV/f.u.): 0.0

Unit cell a=4.064 b=4.146 c=11.195 alpha=120.84 beta=90.00 gamma=119.35
Positions (direct):
Se1 0.168 0.336 0.621
Se2 0.832 0.664 0.379
Pr1 0.687 0.375 0.834
Pr2 0.313 0.625 0.166
O1 0.928 0.856 0.099
O2 0.072 0.144 0.901


Entry 8:
PrSe4O11 after structural relaxation. Source: Alexandria via LeMat-Bulk, functional GGA-PBE.

Total DFT energy (no corrections) (eV/atom): -5.637
N(E_F) (states/eV/f.u.): 3.2

Unit cell a=7.494 b=11.039 c=13.397 alpha=86.19 beta=90.00 gamma=90.00
Each line ends with the local moment (μB).
Positions (direct):
O1 0.316 0.151 0.018  0.12
O2 0.617 0.420 0.614  0.14
O3 0.583 0.929 0.167  0.02
O4 0.097 0.597 0.487  0.04
O5 0.684 0.849 0.982  0.12
O6 0.117 0.080 0.386  0.14
O7 0.781 0.109 0.770  0.02
O8 0.903 0.403 0.513  0.04
O9 0.816 0.349 0.982  0.12
O10 0.083 0.664 0.250  0.01
O11 0.429 0.645 0.870  0.01
O12 0.184 0.651 0.018  0.12
O13 0.083 0.571 0.833  0.02
O14 0.229 0.965 0.661  0.11
O15 0.118 0.733 0.653  0.05
O16 0.583 0.836 0.750  0.01
O17 0.748 0.690 0.571  0.03
O18 0.382 0.233 0.653  0.05
O19 0.597 0.903 0.513  0.04
O20 0.383 0.580 0.386  0.14
O21 0.248 0.810 0.429  0.03
O22 0.571 0.355 0.130  0.01
O23 0.752 0.190 0.571  0.03
O24 0.654 0.685 0.143  0.22
O25 0.154 0.815 0.857  0.22
O26 0.417 0.164 0.250  0.01
O27 0.346 0.315 0.857  0.22
O28 0.917 0.336 0.750  0.01
O29 0.929 0.855 0.130  0.01
O30 0.883 0.920 0.614  0.14
O31 0.882 0.267 0.347  0.05
O32 0.917 0.429 0.167  0.02
O33 0.771 0.035 0.339  0.11
O34 0.417 0.071 0.833  0.02
O35 0.846 0.185 0.143  0.22
O36 0.219 0.891 0.230  0.02
O37 0.618 0.767 0.347  0.05
O38 0.252 0.310 0.429  0.03
O39 0.271 0.465 0.661  0.11
O40 0.729 0.535 0.339  0.11
O41 0.719 0.609 0.770  0.02
O42 0.403 0.097 0.487  0.04
O43 0.281 0.391 0.230  0.02
O44 0.071 0.145 0.870  0.01
Pr1 0.949 0.534 0.666  0.00
Pr2 0.449 0.966 0.334  0.00
Pr3 0.051 0.466 0.334  0.00
Pr4 0.551 0.034 0.666  0.00
Se1 0.467 0.311 0.260  0.00
Se2 0.533 0.689 0.740  0.00
Se3 0.930 0.133 0.299  0.11
Se4 0.794 0.825 0.511  0.01
Se5 0.200 0.666 0.897  -0.01
Se6 0.706 0.325 0.511  0.01
Se7 0.967 0.189 0.740  0.00
Se8 0.430 0.367 0.701  0.11
Se9 0.070 0.867 0.701  0.11
Se10 0.206 0.175 0.489  0.01
Se11 0.300 0.166 0.897  -0.01
Se12 0.294 0.675 0.489  0.01
Se13 0.033 0.811 0.260  0.00
Se14 0.570 0.633 0.299  0.11
Se15 0.700 0.834 0.103  -0.01
Se16 0.800 0.334 0.103  -0.01